## ZnCu2SnTeSe3 (PBE)

Data for a relaxed ZnCu2SnTeSe3 crystal.

CIF file:
```
data_ZnCu2SnTeSe3
_chemical_formula_sum 'Zn2 Cu4 Sn2 Te2 Se6'
_cell_length_a 8.313
_cell_length_b 8.282
_cell_length_c 7.183
_cell_angle_alpha 90.00
_cell_angle_beta 125.27
_cell_angle_gamma 90.00
_space_group_name_H-M_alt 'C 1 m 1'
_space_group_IT_number 8
loop_
_space_group_symop_operation_xyz
'x,y,z'
'x,-y,z'
'x+1/2,y+1/2,z'
'x+1/2,-y+1/2,z'
loop_
_atom_site_label
_atom_site_type_symbol
_atom_site_fract_x
_atom_site_fract_y
_atom_site_fract_z
Zn1 Zn 0.000 0.000 0.000
Cu1 Cu 0.499 0.238 0.520
Sn1 Sn 0.480 0.000 0.003
Te1 Te 0.393 0.500 0.285
Se1 Se 0.359 0.259 0.738
Se2 Se 0.367 0.000 0.278
```

Calculated values
E_tot, eV for the cell shown: -58.13

=====

## MgNbCuBi (PBE)

Data for a relaxed MgNbCuBi crystal.

CIF file:
```
data_MgNbCuBi
_chemical_formula_sum 'Mg4 Nb4 Cu4 Bi4'
_cell_length_a 6.826
_cell_length_b 6.826
_cell_length_c 6.826
_cell_angle_alpha 90.00
_cell_angle_beta 90.00
_cell_angle_gamma 90.00
_space_group_name_H-M_alt 'F -4 3 m'
_space_group_IT_number 216
_space_group_name_Hall 'F -4 2 3'
loop_
_atom_site_label
_atom_site_type_symbol
_atom_site_fract_x
_atom_site_fract_y
_atom_site_fract_z
Mg1 Mg 0.000 0.000 0.000
Nb1 Nb 0.250 0.250 0.250
Cu1 Cu 0.250 0.250 0.750
Bi1 Bi 0.000 0.000 0.500
```

Calculated values
Energy above the lowest structure with this stoichiometry, meV/atom: 0.0

=====

## CsIrNO (PBE)

Data for a relaxed CsIrNO crystal.

CIF file:
```
data_CsIrNO
_chemical_formula_sum 'Cs2 Ir2 N2 O2'
_cell_length_a 3.881
_cell_length_b 6.289
_cell_length_c 6.887
_cell_angle_alpha 90.00
_cell_angle_beta 90.00
_cell_angle_gamma 90.00
_space_group_name_H-M_alt 'P m c 21'
_space_group_IT_number 26
loop_
_space_group_symop_operation_xyz
'x,y,z'
'-x,-y,z+1/2'
'-x,y,z'
'x,-y,z+1/2'
loop_
_atom_site_label
_atom_site_type_symbol
_atom_site_fract_x
_atom_site_fract_y
_atom_site_fract_z
Cs1 Cs 0.000 0.151 0.000
Ir1 Ir 0.500 0.399 0.485
N1 N 0.500 0.500 0.235
O1 O 0.000 0.305 0.485
```

Calculated values
Energy above the lowest structure with this stoichiometry, meV/atom: 0.0

=====

## Rb2AgIrO6 (PBE)

Data for a relaxed Rb2AgIrO6 crystal.

CIF file:
```
data_Rb2AgIrO6
_chemical_formula_sum 'Rb8 Ag4 Ir4 O24'
_cell_length_a 8.340
_cell_length_b 8.340
_cell_length_c 8.340
_cell_angle_alpha 90.00
_cell_angle_beta 90.00
_cell_angle_gamma 90.00
_space_group_name_H-M_alt 'F m -3 m'
_space_group_IT_number 225
_space_group_name_Hall '-F 4 2 3'
loop_
_atom_site_label
_atom_site_type_symbol
_atom_site_fract_x
_atom_site_fract_y
_atom_site_fract_z
Rb1 Rb 0.250 0.250 0.250
Ag1 Ag 0.000 0.000 0.000
Ir1 Ir 0.000 0.000 0.500
O1 O 0.000 0.000 0.275
```

Calculated values
E_tot, eV for the cell shown: -200.57

=====

## Li4CuPb2Au (PBE)

Data for a relaxed Li4CuPb2Au crystal.

CIF file:
```
data_Li4CuPb2Au
_chemical_formula_sum 'Li4 Cu1 Pb2 Au1'
_cell_length_a 4.627
_cell_length_b 4.627
_cell_length_c 6.521
_cell_angle_alpha 90.00
_cell_angle_beta 90.00
_cell_angle_gamma 90.00
_space_group_name_H-M_alt 'P -4 m 2'
_space_group_IT_number 115
loop_
_space_group_symop_operation_xyz
'x,y,z'
'y,-x,-z'
'-x,-y,z'
'-y,x,-z'
'-x,y,z'
'-y,-x,-z'
'x,-y,z'
'y,x,-z'
loop_
_atom_site_label
_atom_site_type_symbol
_atom_site_fract_x
_atom_site_fract_y
_atom_site_fract_z
Li1 Li 0.000 0.000 0.000
Li2 Li 0.000 0.500 0.246
Li3 Li 0.500 0.500 0.500
Cu1 Cu 0.000 0.000 0.500
Pb1 Pb 0.000 0.500 0.732
Au1 Au 0.500 0.500 0.000
```

Calculated values
E_tot, eV for the cell shown: -24.45

=====

## ZnS (PBE)

Data for a relaxed ZnS crystal.

CIF file:
```
data_ZnS
_chemical_formula_sum 'Zn26 S26'
_cell_length_a 3.8344
_cell_length_b 3.8344
_cell_length_c 81.5577
_cell_angle_alpha 90.00
_cell_angle_beta 90.00
_cell_angle_gamma 120.00
_space_group_name_H-M_alt 'P 3 m 1'
_space_group_IT_number 156
loop_
_space_group_symop_operation_xyz
'x,y,z'
'-y,x-y,z'
'-x+y,-x,z'
'-y,-x,z'
'-x+y,y,z'
'x,x-y,z'
loop_
_atom_site_label
_atom_site_type_symbol
_atom_site_fract_x
_atom_site_fract_y
_atom_site_fract_z
Zn1 Zn 0.0000 0.0000 0.0000
Zn2 Zn 0.0000 0.0000 0.1154
Zn3 Zn 0.0000 0.0000 0.2308
Zn4 Zn 0.0000 0.0000 0.3077
Zn5 Zn 0.0000 0.0000 0.4231
Zn6 Zn 0.0000 0.0000 0.5769
Zn7 Zn 0.0000 0.0000 0.6538
Zn8 Zn 0.0000 0.0000 0.7692
Zn9 Zn 0.0000 0.0000 0.8846
Zn10 Zn 0.3333 0.6667 0.0385
Zn11 Zn 0.3333 0.6667 0.1538
Zn12 Zn 0.3333 0.6667 0.2692
Zn13 Zn 0.3333 0.6667 0.3846
Zn14 Zn 0.3333 0.6667 0.4615
Zn15 Zn 0.3333 0.6667 0.5385
Zn16 Zn 0.3333 0.6667 0.6923
Zn17 Zn 0.3333 0.6667 0.8077
Zn18 Zn 0.3333 0.6667 0.9231
Zn19 Zn 0.6667 0.3333 0.0769
Zn20 Zn 0.6667 0.3333 0.1923
Zn21 Zn 0.6667 0.3333 0.3462
Zn22 Zn 0.6667 0.3333 0.5000
Zn23 Zn 0.6667 0.3333 0.6154
Zn24 Zn 0.6667 0.3333 0.7308
Zn25 Zn 0.6667 0.3333 0.8462
Zn26 Zn 0.6667 0.3333 0.9615
S1 S 0.0000 0.0000 0.0288
S2 S 0.0000 0.0000 0.1442
S3 S 0.0000 0.0000 0.2596
S4 S 0.0000 0.0000 0.3365
S5 S 0.0000 0.0000 0.4519
S6 S 0.0000 0.0000 0.6057
S7 S 0.0000 0.0000 0.6827
S8 S 0.0000 0.0000 0.7981
S9 S 0.0000 0.0000 0.9134
S10 S 0.3333 0.6667 0.0673
S11 S 0.3333 0.6667 0.1827
S12 S 0.3333 0.6667 0.2981
S13 S 0.3333 0.6667 0.4134
S14 S 0.3333 0.6667 0.4904
S15 S 0.3333 0.6667 0.5673
S16 S 0.3333 0.6667 0.7211
S17 S 0.3333 0.6667 0.8365
S18 S 0.3333 0.6667 0.9519
S19 S 0.6667 0.3333 0.1057
S20 S 0.6667 0.3333 0.2211
S21 S 0.6667 0.3333 0.3750
S22 S 0.6667 0.3333 0.5288
S23 S 0.6667 0.3333 0.6442
S24 S 0.6667 0.3333 0.7596
S25 S 0.6667 0.3333 0.8750
S26 S 0.6667 0.3333 0.9904
```

Calculated values
E_tot, eV for the cell shown: -182.41

=====

## Ba2Cu3Si2Ni (PBE)

Data for a relaxed Ba2Cu3Si2Ni crystal.

CIF file:
```
data_Ba2Cu3Si2Ni
_chemical_formula_sum 'Ba2 Cu3 Si2 Ni1'
_cell_length_a 4.1370
_cell_length_b 4.1370
_cell_length_c 11.1963
_cell_angle_alpha 90.00
_cell_angle_beta 90.00
_cell_angle_gamma 120.00
_space_group_name_H-M_alt 'P 3 m 1'
_space_group_IT_number 156
loop_
_space_group_symop_operation_xyz
'x,y,z'
'-y,x-y,z'
'-x+y,-x,z'
'-y,-x,z'
'-x+y,y,z'
'x,x-y,z'
loop_
_atom_site_label
_atom_site_type_symbol
_atom_site_fract_x
_atom_site_fract_y
_atom_site_fract_z
Ba1 Ba 0.0000 0.0000 0.0000
Ba2 Ba 0.3333 0.6667 0.4928
Cu1 Cu 0.0000 0.0000 0.7155
Cu2 Cu 0.3333 0.6667 0.2151
Cu3 Cu 0.3333 0.6667 0.7799
Si1 Si 0.6667 0.3333 0.2537
Si2 Si 0.6667 0.3333 0.7476
Ni1 Ni 0.0000 0.0000 0.2755
```

Calculated values
E_tot, eV for the cell shown: -33.74

=====

## BeReAsO (PBE)

Data for a relaxed BeReAsO crystal.

CIF file:
```
data_BeReAsO
_chemical_formula_sum 'Be2 Re2 As2 O2'
_cell_length_a 2.949
_cell_length_b 5.817
_cell_length_c 5.926
_cell_angle_alpha 90.00
_cell_angle_beta 90.00
_cell_angle_gamma 90.00
_space_group_name_H-M_alt 'P m c 21'
_space_group_IT_number 26
loop_
_space_group_symop_operation_xyz
'x,y,z'
'-x,-y,z+1/2'
'-x,y,z'
'x,-y,z+1/2'
loop_
_atom_site_label
_atom_site_type_symbol
_atom_site_fract_x
_atom_site_fract_y
_atom_site_fract_z
Be1 Be 0.000 0.149 0.000
Re1 Re 0.500 0.486 0.795
As1 As 0.000 0.247 0.531
O1 O 0.500 0.231 0.056
```

Calculated values
Energy above the lowest structure with this stoichiometry, meV/atom: 131.9

=====

## NaMg2Zn (PBE)

Data for a relaxed NaMg2Zn crystal.

CIF file:
```
data_NaMg2Zn
_chemical_formula_sum 'Na4 Mg8 Zn4'
_cell_length_a 7.063
_cell_length_b 7.063
_cell_length_c 7.063
_cell_angle_alpha 90.00
_cell_angle_beta 90.00
_cell_angle_gamma 90.00
_space_group_name_H-M_alt 'F -4 3 m'
_space_group_IT_number 216
_space_group_name_Hall 'F -4 2 3'
loop_
_atom_site_label
_atom_site_type_symbol
_atom_site_fract_x
_atom_site_fract_y
_atom_site_fract_z
Na1 Na 0.000 0.000 0.000
Mg1 Mg 0.000 0.000 0.500
Mg2 Mg 0.250 0.250 0.250
Zn1 Zn 0.250 0.250 0.750
```

Calculated values
E_tot, eV for the cell shown: -21.35

=====

## RbNaPt2O4 (PBE)

Data for a relaxed RbNaPt2O4 crystal.

CIF file:
```
data_RbNaPt2O4
_chemical_formula_sum 'Rb2 Na2 Pt4 O8'
_cell_length_a 6.097
_cell_length_b 4.328
_cell_length_c 11.390
_cell_angle_alpha 90.00
_cell_angle_beta 90.00
_cell_angle_gamma 90.00
_space_group_name_H-M_alt 'A m m 2'
_space_group_IT_number 38
loop_
_space_group_symop_operation_xyz
'x,y,z'
'-x,-y,z'
'-x,y,z'
'x,-y,z'
'x,y+1/2,z+1/2'
'-x,-y+1/2,z+1/2'
'-x,y+1/2,z+1/2'
'x,-y+1/2,z+1/2'
loop_
_atom_site_label
_atom_site_type_symbol
_atom_site_fract_x
_atom_site_fract_y
_atom_site_fract_z
Rb1 Rb 0.000 0.000 0.000
Na1 Na 0.500 0.000 0.595
Pt1 Pt 0.000 0.000 0.296
Pt2 Pt 0.500 0.000 0.302
O1 O 0.249 0.000 0.411
O2 O 0.258 0.000 0.188
```

Calculated values
E_tot, eV for the cell shown: -82.24

=====

## AcHoLu (PBE)

Data for a relaxed AcHoLu crystal.

CIF file:
```
data_AcHoLu
_chemical_formula_sum 'Ac4 Ho4 Lu4'
_cell_length_a 7.890
_cell_length_b 7.890
_cell_length_c 7.890
_cell_angle_alpha 90.00
_cell_angle_beta 90.00
_cell_angle_gamma 90.00
_space_group_name_H-M_alt 'F -4 3 m'
_space_group_IT_number 216
_space_group_name_Hall 'F -4 2 3'
loop_
_atom_site_label
_atom_site_type_symbol
_atom_site_fract_x
_atom_site_fract_y
_atom_site_fract_z
Ac1 Ac 0.000 0.000 0.000
Ho1 Ho 0.000 0.000 0.500
Lu1 Lu 0.250 0.250 0.250
```

Calculated values
Energy of formation from the pure elements, eV/atom: 0.6823
Energy above the lowest structure with this stoichiometry, meV/atom: 0.0

=====

## Na2MgTcS4 (PBE)

Data for a relaxed Na2MgTcS4 crystal.

CIF file:
```
data_Na2MgTcS4
_chemical_formula_sum 'Na4 Mg2 Tc2 S8'
_cell_length_a 9.086
_cell_length_b 9.593
_cell_length_c 6.426
_cell_angle_alpha 90.00
_cell_angle_beta 134.97
_cell_angle_gamma 90.00
_space_group_name_H-M_alt 'C 1 2 1'
_space_group_IT_number 5
loop_
_space_group_symop_operation_xyz
'x,y,z'
'-x,y,-z'
'x+1/2,y+1/2,z'
'-x+1/2,y+1/2,-z'
loop_
_atom_site_label
_atom_site_type_symbol
_atom_site_fract_x
_atom_site_fract_y
_atom_site_fract_z
Na1 Na 0.000 0.000 0.000
Na2 Na 0.000 0.249 0.500
Mg1 Mg 0.000 0.750 0.500
Tc1 Tc 0.000 0.500 0.000
S1 S 0.191 0.622 0.961
S2 S 0.230 0.377 0.422
```

Calculated values
E_tot, eV for the cell shown: -74.40